Entry 1:
ThGaNi3 | PBE | optimized geometry

## Properties
* total energy: -29.4 eV/f.u.
* calculated formation energy: -314 meV per atom
* symmetry: P6_3/mmc (194)
* energy above the most stable polymorph in this dataset: 0 meV per atom
* total moment: 0.00 Bohr magnetons per cell

Lattice parameters (Å, degrees): 5.714 5.714 11.848 90.00 90.00 120.00
Element x y z (fractional)
Th1 0.000 0.000 0.000
Th2 0.000 0.000 0.500
Th3 0.333 0.667 0.250
Th4 0.667 0.333 0.750
Ga1 0.333 0.667 0.640
Ga2 0.333 0.667 0.860
Ga3 0.667 0.333 0.140
Ga4 0.667 0.333 0.360
Ni1 0.000 0.500 0.000
Ni2 0.000 0.500 0.500
Ni3 0.134 0.268 0.750
Ni4 0.134 0.866 0.750
Ni5 0.268 0.134 0.250
Ni6 0.500 0.000 0.000
Ni7 0.500 0.000 0.500
Ni8 0.500 0.500 0.000
Ni9 0.500 0.500 0.500
Ni10 0.732 0.866 0.750
Ni11 0.866 0.134 0.250
Ni12 0.866 0.732 0.250

---

Entry 2:
Pr3TlSn2 | PBE | optimized geometry

## Properties
* total energy: -28.0 eV/f.u.
* calculated formation energy: -554 meV per atom
* symmetry: C2/c (15)
* energy above the most stable polymorph in this dataset: 13 meV per atom
* total moment: 0.00 Bohr magnetons per cell

Lattice parameters (Å, degrees): 9.304 9.304 6.437 101.07 101.07 41.46
Element x y z (fractional)
Pr1 0.135 0.865 0.750
Pr2 0.211 0.442 0.393
Pr3 0.442 0.211 0.893
Pr4 0.558 0.789 0.107
Pr5 0.789 0.558 0.607
Pr6 0.865 0.135 0.250
Tl1 0.371 0.629 0.250
Tl2 0.629 0.371 0.750
Sn1 0.052 0.267 0.062
Sn2 0.267 0.052 0.562
Sn3 0.733 0.948 0.438
Sn4 0.948 0.733 0.938

---

Entry 3:
Li4Cu2Pt3 | PBE | optimized geometry

## Properties
* total energy: -37.8 eV/f.u.
* calculated formation energy: -420 meV per atom
* symmetry: C2/c (15)
* total moment: 0.00 Bohr magnetons per cell

Lattice parameters (Å, degrees): 7.158 7.158 5.388 90.00 90.00 60.09
Element x y z (fractional)
Li1 0.160 0.832 0.000
Li2 0.167 0.499 0.000
Li3 0.168 0.840 0.500
Li4 0.499 0.167 0.500
Li5 0.501 0.833 0.500
Li6 0.832 0.160 0.500
Li7 0.833 0.501 0.000
Li8 0.840 0.168 0.000
Cu1 0.164 0.509 0.499
Cu2 0.491 0.836 0.001
Cu3 0.509 0.164 0.999
Cu4 0.836 0.491 0.501
Pt1 0.170 0.171 0.250
Pt2 0.171 0.170 0.750
Pt3 0.500 0.500 0.250
Pt4 0.500 0.500 0.750
Pt5 0.829 0.830 0.250
Pt6 0.830 0.829 0.750

---

Entry 4:
TiFe2CuBi | PBE | optimized geometry

## Properties
* total energy: -24.8 eV/f.u.
* calculated formation energy: 1599 meV per atom
* symmetry: P4/mmm (123)
* total moment: 4.04 Bohr magnetons per cell

Lattice parameters (Å, degrees): 4.872 4.872 5.246 90.00 90.00 90.00
Element x y z (fractional)
Ti1 0.000 0.000 0.000
Fe1 0.000 0.500 0.500
Fe2 0.500 0.000 0.500
Cu1 0.500 0.500 0.000
Bi1 0.000 0.000 0.500

---

Entry 5:
KCoS2 | PBE | optimized geometry

## Properties
* total energy: -19.1 eV/f.u.
* symmetry: I-42d (122)
* E_form (uncorrected): -649 meV/atom
* total moment: 0.00 Bohr magnetons per cell

Lattice parameters (Å, degrees): 6.840 6.840 7.625 90.00 90.00 90.00
Element x y z (fractional)
K1 0.000 0.000 0.000
K2 0.000 0.500 0.250
K3 0.500 0.000 0.750
K4 0.500 0.500 0.500
Co1 0.000 0.000 0.500
Co2 0.000 0.500 0.750
Co3 0.500 0.000 0.250
Co4 0.500 0.500 0.000
S1 0.124 0.250 0.625
S2 0.250 0.624 0.875
S3 0.250 0.876 0.375
S4 0.376 0.250 0.125
S5 0.624 0.750 0.125
S6 0.750 0.124 0.375
S7 0.750 0.376 0.875
S8 0.876 0.750 0.625

---

Entry 6:
EuTm2H | PBE | optimized geometry

## Properties
* total energy: -21.9 eV/f.u.
* symmetry: R-3m (166)
* total moment: 21.78 Bohr magnetons per cell

Lattice parameters (Å, degrees): 3.617 3.617 29.860 90.00 90.00 120.00
Element x y z (fractional)
Eu1 0.000 0.000 0.000
Eu2 0.333 0.667 0.667
Eu3 0.667 0.333 0.333
Tm1 0.000 0.000 0.434
Tm2 0.000 0.000 0.566
Tm3 0.333 0.667 0.100
Tm4 0.333 0.667 0.233
Tm5 0.667 0.333 0.767
Tm6 0.667 0.333 0.900
H1 0.000 0.000 0.500
H2 0.333 0.667 0.167
H3 0.667 0.333 0.833

---

Entry 7:
Sm4ErAl5 | PBE | optimized geometry

## Properties
* total energy: -45.9 eV/f.u.
* calculated formation energy: -378 meV per atom
* symmetry: P4/mmm (123)
* total moment: 0.00 Bohr magnetons per cell

Lattice parameters (Å, degrees): 3.653 3.653 18.331 90.00 90.00 90.00
Element x y z (fractional)
Sm1 0.000 0.000 0.102
Sm2 0.000 0.000 0.305
Sm3 0.000 0.000 0.695
Sm4 0.000 0.000 0.898
Er1 0.000 0.000 0.500
Al1 0.500 0.500 0.000
Al2 0.500 0.500 0.203
Al3 0.500 0.500 0.408
Al4 0.500 0.500 0.592
Al5 0.500 0.500 0.797

---

Entry 8:
MgTlSi2 | PBE | optimized geometry

## Properties
* total energy: -13.1 eV/f.u.
* symmetry: I-4m2 (119)
* E_form (uncorrected): 430 meV/atom
* energy above the most stable polymorph in this dataset: 273 meV per atom
* total moment: 0.00 Bohr magnetons per cell

Lattice parameters (Å, degrees): 4.355 4.355 8.547 90.00 90.00 90.00
Element x y z (fractional)
Mg1 0.000 0.000 0.000
Mg2 0.500 0.500 0.500
Tl1 0.000 0.500 0.250
Tl2 0.500 0.000 0.750
Si1 0.000 0.000 0.500
Si2 0.000 0.500 0.750
Si3 0.500 0.000 0.250
Si4 0.500 0.500 0.000

---

Entry 9:
YCoSbTe2 | PBE | optimized geometry

## Properties
* total energy: -20.4 eV/f.u.
* symmetry: P4/mmm (123)
* E_form (uncorrected): 711 meV/atom
* energy above the most stable polymorph in this dataset: 875 meV per atom
* total moment: 2.43 Bohr magnetons per cell

Lattice parameters (Å, degrees): 5.781 5.781 5.836 90.00 90.00 90.00
Element x y z (fractional)
Y1 0.000 0.000 0.000
Co1 0.500 0.500 0.500
Sb1 0.000 0.000 0.500
Te1 0.000 0.500 0.000
Te2 0.500 0.000 0.000

---

Entry 10:
Li2Pr2YSn2 | PBE | optimized geometry

## Properties
* total energy: -31.2 eV/f.u.
* calculated formation energy: -476 meV per atom
* symmetry: R-3m (166)
* total moment: 0.00 Bohr magnetons per cell

Lattice parameters (Å, degrees): 9.677 9.677 9.677 28.74 28.74 28.74
Element x y z (fractional)
Li1 0.106 0.106 0.106
Li2 0.894 0.894 0.894
Pr1 0.372 0.372 0.372
Pr2 0.628 0.628 0.628
Y1 0.500 0.500 0.500
Sn1 0.232 0.232 0.232
Sn2 0.768 0.768 0.768

---

Entry 11:
CsTl2SnHg | PBE | optimized geometry

## Properties
* total energy: -9.7 eV/f.u.
* calculated formation energy: 39 meV per atom
* symmetry: P4/mmm (123)
* total moment: 0.00 Bohr magnetons per cell

Lattice parameters (Å, degrees): 5.976 5.976 6.062 90.00 90.00 90.00
Element x y z (fractional)
Cs1 0.000 0.000 0.000
Tl1 0.000 0.500 0.500
Tl2 0.500 0.000 0.500
Sn1 0.500 0.500 0.500
Hg1 0.500 0.500 0.000

---

Entry 12:
ZrAsSe2I | PBE | optimized geometry

## Properties
* total energy: -22.4 eV/f.u.
* symmetry: P4/mmm (123)
* E_form (uncorrected): -139 meV/atom
* energy above the most stable polymorph in this dataset: 0 meV per atom
* total moment: 0.00 Bohr magnetons per cell

Lattice parameters (Å, degrees): 5.123 5.123 5.625 90.00 90.00 90.00
Element x y z (fractional)
Zr1 0.000 0.000 0.000
As1 0.000 0.000 0.500
Se1 0.000 0.500 0.000
Se2 0.500 0.000 0.000
I1 0.500 0.500 0.500

---

Entry 13:
Y2CdNiPb | PBE | optimized geometry

## Properties
* total energy: -24.5 eV/f.u.
* calculated formation energy: -241 meV per atom
* symmetry: P4/mmm (123)
* total moment: 0.00 Bohr magnetons per cell

Lattice parameters (Å, degrees): 5.171 5.171 4.936 90.00 90.00 90.00
Element x y z (fractional)
Y1 0.000 0.500 0.000
Y2 0.500 0.000 0.000
Cd1 0.000 0.000 0.500
Ni1 0.000 0.000 0.000
Pb1 0.500 0.500 0.500

---

Entry 14:
PmSn3Au3 | PBE | optimized geometry

## Properties
* total energy: -29.2 eV/f.u.
* calculated formation energy: -376 meV per atom
* symmetry: R-3 (148)
* energy above the most stable polymorph in this dataset: 0 meV per atom
* total moment: 0.00 Bohr magnetons per cell

Lattice parameters (Å, degrees): 7.744 7.744 7.744 66.02 66.02 66.02
Element x y z (fractional)
Pm1 0.166 0.166 0.166
Pm2 0.834 0.834 0.834
Sn1 0.095 0.406 0.721
Sn2 0.279 0.905 0.594
Sn3 0.406 0.721 0.095
Sn4 0.594 0.279 0.905
Sn5 0.721 0.095 0.406
Sn6 0.905 0.594 0.279
Au1 0.072 0.763 0.420
Au2 0.237 0.580 0.928
Au3 0.420 0.072 0.763
Au4 0.580 0.928 0.237
Au5 0.763 0.420 0.072
Au6 0.928 0.237 0.580

---

Entry 15:
La3PrInFe | PBE | optimized geometry

## Properties
* total energy: -31.8 eV/f.u.
* calculated formation energy: -171 meV per atom
* symmetry: C2/m (12)
* total moment: 0.00 Bohr magnetons per cell

Lattice parameters (Å, degrees): 9.354 9.354 6.139 108.74 108.74 45.71
Element x y z (fractional)
La1 0.124 0.638 0.892
La2 0.309 0.309 0.296
La3 0.362 0.876 0.108
La4 0.638 0.124 0.892
La5 0.691 0.691 0.704
La6 0.876 0.362 0.108
Pr1 0.235 0.765 0.500
Pr2 0.765 0.235 0.500
In1 0.192 0.192 0.691
In2 0.808 0.808 0.309
Fe1 0.475 0.475 0.148
Fe2 0.525 0.525 0.852

---

Entry 16:
TlBi2C | PBE | optimized geometry

## Properties
* total energy: -13.5 eV/f.u.
* calculated formation energy: 1468 meV per atom
* symmetry: Fm-3m (225)
* energy above the most stable polymorph in this dataset: 574 meV per atom
* total moment: 0.00 Bohr magnetons per cell

Lattice parameters (Å, degrees): 7.319 7.319 7.319 90.00 90.00 90.00
Element x y z (fractional)
Tl1 0.000 0.000 0.000
Tl2 0.000 0.500 0.500
Tl3 0.500 0.000 0.500
Tl4 0.500 0.500 0.000
Bi1 0.250 0.250 0.250
Bi2 0.250 0.250 0.750
Bi3 0.250 0.750 0.250
Bi4 0.250 0.750 0.750
Bi5 0.750 0.250 0.250
Bi6 0.750 0.250 0.750
Bi7 0.750 0.750 0.250
Bi8 0.750 0.750 0.750
C1 0.000 0.000 0.500
C2 0.000 0.500 0.000
C3 0.500 0.000 0.000
C4 0.500 0.500 0.500

---

Entry 17:
Cs4Hg7Au6 | PBE | optimized geometry

## Properties
* total energy: -26.5 eV/f.u.
* calculated formation energy: -77 meV per atom
* symmetry: Im-3m (229)
* total moment: 0.00 Bohr magnetons per cell

Lattice parameters (Å, degrees): 8.858 8.858 8.858 109.47 109.47 109.47
Element x y z (fractional)
Cs1 0.000 0.000 0.500
Cs2 0.000 0.500 0.000
Cs3 0.500 0.000 0.000
Cs4 0.500 0.500 0.500
Hg1 0.000 0.000 0.000
Hg2 0.250 0.500 0.750
Hg3 0.250 0.750 0.500
Hg4 0.500 0.250 0.750
Hg5 0.500 0.750 0.250
Hg6 0.750 0.250 0.500
Hg7 0.750 0.500 0.250
Au1 0.000 0.303 0.303
Au2 0.000 0.697 0.697
Au3 0.303 0.000 0.303
Au4 0.303 0.303 0.000
Au5 0.697 0.000 0.697
Au6 0.697 0.697 0.000

---

Entry 18:
TiWAu2C | PBE | optimized geometry

## Properties
* total energy: -33.8 eV/f.u.
* calculated formation energy: 571 meV per atom
* symmetry: P4/mmm (123)
* total moment: 0.00 Bohr magnetons per cell

Lattice parameters (Å, degrees): 4.324 4.324 4.162 90.00 90.00 90.00
Element x y z (fractional)
Ti1 0.000 0.000 0.000
W1 0.500 0.500 0.000
Au1 0.000 0.500 0.500
Au2 0.500 0.000 0.500
C1 0.500 0.500 0.500

---

Entry 19:
ScNb2Hg | PBE | optimized geometry

## Properties
* total energy: -24.5 eV/f.u.
* calculated formation energy: 566 meV per atom
* symmetry: I-42d (122)
* total moment: 0.00 Bohr magnetons per cell

Lattice parameters (Å, degrees): 7.859 7.859 5.511 90.00 90.00 90.00
Element x y z (fractional)
Sc1 0.000 0.000 0.000
Sc2 0.000 0.500 0.250
Sc3 0.500 0.000 0.750
Sc4 0.500 0.500 0.500
Nb1 0.235 0.750 0.625
Nb2 0.250 0.235 0.375
Nb3 0.250 0.265 0.875
Nb4 0.265 0.750 0.125
Nb5 0.735 0.250 0.125
Nb6 0.750 0.735 0.875
Nb7 0.750 0.765 0.375
Nb8 0.765 0.250 0.625
Hg1 0.000 0.000 0.500
Hg2 0.000 0.500 0.750
Hg3 0.500 0.000 0.250
Hg4 0.500 0.500 0.000

---

Entry 20:
Nb5MoPt2Rh2 | PBE | optimized geometry

## Properties
* total energy: -88.1 eV/f.u.
* calculated formation energy: -15 meV per atom
* symmetry: P4/mbm (127)
* total moment: 0.00 Bohr magnetons per cell

Lattice parameters (Å, degrees): 9.370 9.370 3.960 90.00 90.00 90.00
Element x y z (fractional)
Nb1 0.000 0.500 0.000
Nb2 0.079 0.195 0.000
Nb3 0.195 0.921 0.000
Nb4 0.305 0.421 0.000
Nb5 0.421 0.695 0.000
Nb6 0.500 0.000 0.000
Nb7 0.579 0.305 0.000
Nb8 0.695 0.579 0.000
Nb9 0.805 0.079 0.000
Nb10 0.921 0.805 0.000
Mo1 0.000 0.000 0.500
Mo2 0.500 0.500 0.500
Pt1 0.168 0.668 0.500
Pt2 0.332 0.168 0.500
Pt3 0.668 0.832 0.500
Pt4 0.832 0.332 0.500
Rh1 0.128 0.372 0.500
Rh2 0.372 0.872 0.500
Rh3 0.628 0.128 0.500
Rh4 0.872 0.628 0.500